Model A:
# NbGeAs

A relaxed NbGeAs crystal (PBE, the Alexandria database).

Cell: 7.373 7.373 6.840 Å, 90.00 90.00 120.00°
Sites, in units of the cell vectors:
Nb 0.000 0.000 0.250
Nb 0.000 0.000 0.750
Nb 0.333 0.667 0.000
Nb 0.333 0.667 0.500
Nb 0.667 0.333 0.000
Nb 0.667 0.333 0.500
Ge 0.000 0.272 0.000
Ge 0.000 0.272 0.500
Ge 0.272 0.000 0.000
Ge 0.272 0.000 0.500
Ge 0.728 0.728 0.000
Ge 0.728 0.728 0.500
As 0.001 0.613 0.250
As 0.387 0.388 0.250
As 0.388 0.387 0.750
As 0.612 0.999 0.250
As 0.613 0.001 0.750
As 0.999 0.612 0.750

Properties
Space-group type ... P-62c, No. 190

Model B:
# NbGeAs

A relaxed NbGeAs crystal (PBE, the Alexandria database).

Cell: 3.225 3.225 5.566 Å, 90.00 90.00 90.00°
Sites, in units of the cell vectors:
Nb 0.000 0.000 0.000
Ge 0.500 0.500 0.697
As 0.500 0.500 0.250

Properties
Space-group type ... P4mm, No. 99

Model C:
# NbGeAs

A relaxed NbGeAs crystal (PBE, the Alexandria database).

Cell: 6.014 8.365 5.047 Å, 90.00 124.24 90.00°
Sites, in units of the cell vectors:
Nb 0.000 0.132 0.000
Nb 0.000 0.868 0.500
Nb 0.500 0.368 0.500
Nb 0.500 0.632 0.000
Ge 0.420 0.064 0.603
Ge 0.420 0.936 0.103
Ge 0.920 0.436 0.103
Ge 0.920 0.564 0.603
As 0.296 0.338 0.868
As 0.296 0.662 0.368
As 0.796 0.162 0.368
As 0.796 0.838 0.868

Properties
Space-group type ... Cc, No. 9

Order of stability, best first: model C, model B, model A

Model A:
# NbGeAs

A relaxed NbGeAs crystal (PBE, the Alexandria database).

Cell: 3.606 3.606 8.001 Å, 90.00 90.00 90.00°
Sites, in units of the cell vectors:
Nb 0.250 0.250 0.239
Nb 0.750 0.750 0.761
Ge 0.250 0.750 0.500
Ge 0.750 0.250 0.500
As 0.250 0.250 0.891
As 0.750 0.750 0.109

Properties
Space-group type ... P4/nmm, No. 129

Model B:
# NbGeAs

A relaxed NbGeAs crystal (PBE, the Alexandria database).

Cell: 5.893 5.912 6.002 Å, 90.00 90.00 90.00°
Sites, in units of the cell vectors:
Nb 0.000 0.250 0.126
Nb 0.000 0.750 0.374
Nb 0.500 0.250 0.874
Nb 0.500 0.750 0.626
Ge 0.133 0.500 0.750
Ge 0.367 0.500 0.250
Ge 0.633 0.000 0.250
Ge 0.867 0.000 0.750
As 0.250 0.104 0.500
As 0.250 0.896 0.000
As 0.750 0.396 0.500
As 0.750 0.604 0.000

Properties
Space-group type ... I2_12_12_1, No. 24

Model C:
# NbGeAs

A relaxed NbGeAs crystal (PBE, the Alexandria database).

Cell: 4.738 5.026 5.129 Å, 105.68 108.35 92.54°
Sites, in units of the cell vectors:
Nb 0.000 0.000 0.000
Nb 0.375 0.124 0.600
Ge 0.785 0.838 0.391
Ge 0.963 0.447 0.841
As 0.409 0.682 0.757
As 0.594 0.284 0.217

Properties
Space-group type ... P1, No. 1

Model D:
# NbGeAs

A relaxed NbGeAs crystal (PBE, the Alexandria database).

Cell: 6.353 5.352 4.932 Å, 76.19 54.89 48.92°
Sites, in units of the cell vectors:
Nb 0.000 0.000 0.000
Nb 0.250 0.250 0.250
Ge 0.337 0.663 0.337
Ge 0.663 0.337 0.663
As 0.585 0.915 0.585
As 0.915 0.585 0.915

Properties
Space-group type ... F222, No. 22

Order of stability, best first: model A, model B, model D, model C

Model A:
# NbSiGe2As

A relaxed NbSiGe2As crystal (PBE, the Alexandria database).

Cell: 4.824 4.824 4.664 Å, 90.00 90.00 90.00°
Sites, in units of the cell vectors:
Nb 0.000 0.000 0.000
Si 0.500 0.500 0.000
Ge 0.000 0.500 0.500
Ge 0.500 0.000 0.500
As 0.500 0.500 0.500

Properties
Space-group type ... P4/mmm, No. 123

Model B:
# NbSiGe2As

A relaxed NbSiGe2As crystal (PBE, the Alexandria database).

Cell: 5.025 5.025 4.890 Å, 90.00 90.00 90.00°
Sites, in units of the cell vectors:
Nb 0.000 0.000 0.000
Si 0.000 0.000 0.500
Ge 0.000 0.500 0.000
Ge 0.500 0.000 0.000
As 0.500 0.500 0.500

Properties
Space-group type ... P4/mmm, No. 123

Order of stability, best first: model B, model A